No. 1
First-principles (PBE) data for a geometry-optimized PaTeF4 structure, as listed in Alexandria.

a = 7.0432 Å, b = 3.5268 Å, c = 9.4905 Å
α = 90.00°, β = 90.00°, γ = 90.00°
Element x y z (fractional)
Pa 0.2500 0.0000 0.1487
Pa 0.7500 0.0000 0.8513
Te 0.2500 0.0000 0.5016
Te 0.7500 0.0000 0.4984
F 0.0000 0.0000 0.0000
F 0.0642 0.5000 0.2260
F 0.2500 0.5000 0.9947
F 0.4358 0.5000 0.2260
F 0.5000 0.0000 0.0000
F 0.5642 0.5000 0.7740
F 0.7500 0.5000 0.0053
F 0.9358 0.5000 0.7740

SG ... Pmma, No. 51



No. 2
First-principles (PBE) data for a geometry-optimized PaTeF3 structure, as listed in Alexandria.

a = 6.0366 Å, b = 6.0366 Å, c = 5.9402 Å
α = 90.00°, β = 90.00°, γ = 119.39°
Element x y z (fractional)
Pa 0.1203 0.8797 0.7500
Pa 0.8797 0.1203 0.2500
Te 0.2625 0.7375 0.2500
Te 0.7375 0.2625 0.7500
F 0.2051 0.2051 0.0000
F 0.2051 0.2051 0.5000
F 0.3173 0.6827 0.7500
F 0.6827 0.3173 0.2500
F 0.7949 0.7949 0.0000
F 0.7949 0.7949 0.5000

SG ... Cmcm, No. 63



No. 3
First-principles (PBE) data for a geometry-optimized Pa2TeF structure, as listed in Alexandria.

a = 9.4890 Å, b = 9.4890 Å, c = 9.4890 Å
α = 21.71°, β = 21.71°, γ = 21.71°
Element x y z (fractional)
Pa 0.0823 0.0823 0.0823
Pa 0.9177 0.9177 0.9177
Te 0.5000 0.5000 0.5000
F 0.0000 0.0000 0.0000

SG ... R-3m, No. 166



No. 4
First-principles (PBE) data for a geometry-optimized PaTeF2 structure, as listed in Alexandria.

a = 5.9710 Å, b = 5.9710 Å, c = 7.4840 Å
α = 90.00°, β = 90.00°, γ = 141.75°
Element x y z (fractional)
Pa 0.2412 0.7588 0.7500
Pa 0.7588 0.2412 0.2500
Te 0.4687 0.5313 0.2500
Te 0.5313 0.4687 0.7500
F 0.1956 0.8044 0.0736
F 0.1956 0.8044 0.4264
F 0.8044 0.1956 0.5736
F 0.8044 0.1956 0.9264

SG ... Cmcm, No. 63



No. 5
First-principles (PBE) data for a geometry-optimized PaTl3F8 structure, as listed in Alexandria.

a = 6.2357 Å, b = 6.2357 Å, c = 6.2357 Å
α = 90.00°, β = 90.00°, γ = 90.00°
Element x y z (fractional)
Pa 0.0000 0.0000 0.0000
Tl 0.0000 0.5000 0.5000
Tl 0.5000 0.0000 0.5000
Tl 0.5000 0.5000 0.0000
F 0.2070 0.2070 0.2070
F 0.2070 0.2070 0.7930
F 0.2070 0.7930 0.2070
F 0.2070 0.7930 0.7930
F 0.7930 0.2070 0.2070
F 0.7930 0.2070 0.7930
F 0.7930 0.7930 0.2070
F 0.7930 0.7930 0.7930

SG ... Pm-3m, No. 221



No. 6
First-principles (PBE) data for a geometry-optimized PaTl3F6 structure, as listed in Alexandria.

a = 8.0531 Å, b = 7.5203 Å, c = 6.3327 Å
α = 70.49°, β = 61.67°, γ = 47.84°
Element x y z (fractional)
Pa 0.0000 0.0000 0.0000
Tl 0.2500 0.2500 0.2500
Tl 0.5000 0.5000 0.5000
Tl 0.7500 0.7500 0.7500
F 0.0824 0.6795 0.9176
F 0.2211 0.7789 0.2211
F 0.3205 0.9176 0.6795
F 0.6795 0.0824 0.3205
F 0.7789 0.2211 0.7789
F 0.9176 0.3205 0.0824

Relative energy among the computed polymorphs ... 7 meV per atom
SG ... Fmmm, No. 69



No. 7
First-principles (PBE) data for a geometry-optimized PaTlF4 structure, as listed in Alexandria.

a = 7.8370 Å, b = 7.8370 Å, c = 7.8370 Å
α = 122.06°, β = 122.06°, γ = 86.47°
Element x y z (fractional)
Pa 0.0000 0.0000 0.0000
Tl 0.2500 0.7500 0.5000
F 0.0418 0.8794 0.7090
F 0.1206 0.8296 0.1624
F 0.1704 0.3328 0.2910
F 0.6672 0.9582 0.8376

SG ... I-4, No. 82



No. 8
First-principles (PBE) data for a geometry-optimized PaTlF2 structure, as listed in Alexandria.

a = 9.7215 Å, b = 9.7215 Å, c = 9.7215 Å
α = 20.69°, β = 20.69°, γ = 20.69°
Element x y z (fractional)
Pa 0.0000 0.0000 0.0000
Tl 0.5000 0.5000 0.5000
F 0.0735 0.0735 0.0735
F 0.9265 0.9265 0.9265

SG ... R-3m, No. 166



No. 9
First-principles (PBE) data for a geometry-optimized PaTl3F6 structure, as listed in Alexandria.

a = 5.9456 Å, b = 5.9456 Å, c = 7.7756 Å
α = 90.00°, β = 90.00°, γ = 120.00°
Element x y z (fractional)
Pa 0.0000 0.0000 0.0000
Tl 0.0000 0.0000 0.5000
Tl 0.3333 0.6667 0.5000
Tl 0.6667 0.3333 0.5000
F 0.0000 0.2836 0.8305
F 0.0000 0.7164 0.1695
F 0.2836 0.0000 0.8305
F 0.2836 0.2836 0.1695
F 0.7164 0.0000 0.1695
F 0.7164 0.7164 0.8305

Relative energy among the computed polymorphs ... 0 meV per atom
SG ... P-31m, No. 162



No. 10
First-principles (PBE) data for a geometry-optimized Pa2TlF9 structure, as listed in Alexandria.

a = 8.0015 Å, b = 8.0015 Å, c = 3.5754 Å
α = 90.00°, β = 90.00°, γ = 120.00°
Element x y z (fractional)
Pa 0.3333 0.6667 0.0000
Pa 0.6667 0.3333 0.0000
Tl 0.0000 0.0000 0.0000
F 0.0000 0.5000 0.0000
F 0.2230 0.4460 0.5000
F 0.2230 0.7770 0.5000
F 0.4460 0.2230 0.5000
F 0.5000 0.0000 0.0000
F 0.5000 0.5000 0.0000
F 0.5540 0.7770 0.5000
F 0.7770 0.2230 0.5000
F 0.7770 0.5540 0.5000

SG ... P6/mmm, No. 191



No. 11
First-principles (PBE) data for a geometry-optimized TmPaF structure, as listed in Alexandria.

a = 11.8625 Å, b = 11.8608 Å, c = 3.1974 Å
α = 82.28°, β = 82.22°, γ = 15.49°
Element x y z (fractional)
Tm 0.1729 0.1729 0.8271
Tm 0.8271 0.8271 0.1729
Pa 0.4390 0.4390 0.5610
Pa 0.5610 0.5610 0.4390
F 0.2788 0.2788 0.7212
F 0.7212 0.7212 0.2788

SG ... Fmmm, No. 69



No. 12
First-principles (PBE) data for a geometry-optimized TmPaF6 structure, as listed in Alexandria.

a = 5.1180 Å, b = 5.1180 Å, c = 5.7521 Å
α = 95.74°, β = 95.74°, γ = 111.41°
Element x y z (fractional)
Tm 0.0000 0.0000 0.0000
Pa 0.5000 0.5000 0.5000
F 0.0523 0.3662 0.2550
F 0.2757 0.2757 0.7948
F 0.3662 0.0523 0.2550
F 0.6338 0.9477 0.7450
F 0.7243 0.7243 0.2052
F 0.9477 0.6338 0.7450

SG ... C2/m, No. 12



No. 13
First-principles (PBE) data for a geometry-optimized U2PaF11 structure, as listed in Alexandria.

a = 8.8779 Å, b = 8.8779 Å, c = 8.8779 Å
α = 122.67°, β = 106.27°, γ = 100.37°
Element x y z (fractional)
U 0.1813 0.1465 0.3278
U 0.3187 0.6465 0.9652
U 0.6813 0.3535 0.0348
U 0.8187 0.8535 0.6722
Pa 0.2500 0.7500 0.5000
Pa 0.7500 0.2500 0.5000
F 0.0000 0.0000 0.0000
F 0.0282 0.4471 0.7685
F 0.0693 0.8443 0.6419
F 0.1785 0.9471 0.4189
F 0.2024 0.4274 0.3581
F 0.2190 0.8750 0.0940
F 0.2810 0.3750 0.6560
F 0.2976 0.6557 0.2250
F 0.3215 0.7404 0.7685
F 0.4307 0.0726 0.7750
F 0.4718 0.2404 0.4189
F 0.5000 0.5000 0.0000
F 0.5282 0.7596 0.5811
F 0.5693 0.9274 0.2250
F 0.6785 0.2596 0.2315
F 0.7024 0.3443 0.7750
F 0.7190 0.6250 0.3440
F 0.7810 0.1250 0.9060
F 0.7976 0.5726 0.6419
F 0.8215 0.0529 0.5811
F 0.9307 0.1557 0.3581
F 0.9718 0.5529 0.2315

SG ... Ibam, No. 72



For each record above, in turn, the calculated total magnetization values are 0.5, 0.1, 1.3, 1.0, 0.0, 0.8, 2.0, 0.5, 0.2, 1.9, 0.0, 2.0, 6.0 μB per formula unit.
For each record above, in turn, the calculated formation energy (no corrections) values are -3004, -2819, -1043, -2540, -2870, -2577, -2719, -1863, -2584, -3431, -1393, -3669, -3642 meV/atom.